## SbPRhO2 (PBE)

Data for crystalline SbPRhO2 at its relaxed geometry.

Unit cell a=3.8219 b=3.8219 c=5.5161 alpha=90.00 beta=90.00 gamma=90.00
Closest atoms and distances in Å follow each position.
Space group P4/mmm (No. 123)
One atom of each set of equivalent atoms:
Sb 0.0000 0.0000 0.0000 x1  4 O 1.91
P 0.0000 0.0000 0.5000 x1  4 Rh 2.70, 2 Sb 2.76
Rh 0.5000 0.5000 0.5000 x1  4 P 2.70
O 0.0000 0.5000 0.0000 x2  2 Sb 1.91

The value obtained for the calculated volume is 81 Å³/cell. The calculation puts the formation energy without anion corrections at -0.0191 eV per atom. Its total energy is -5.379 eV/atom. The value obtained for the distance to the lowest polymorph of the same formula is 25 kJ/mol of formula units.